First-principles (PBE with a Hubbard U) data for a relaxed RbNi3O crystal, as listed in the Alexandria database.

Unit cell a=4.3705 b=4.3705 c=4.3705 alpha=90.00 beta=90.00 gamma=90.00
Fractional positions:
Ni 0.0000 0.0000 0.5000
Ni 0.5000 0.0000 0.0000
Ni 0.0000 0.5000 0.0000
O 0.0000 0.0000 0.0000
Rb 0.5000 0.5000 0.5000

Results
- magnetic moment (μB per atom) = 0.50
- excess energy over the best structure of this formula in the dataset (meV/atom) = 0